[1]
# NdTm3Os (PBE, relaxed)
data_NdTm3Os
_cell_length_a 5.3771
_cell_length_b 5.3771
_cell_length_c 5.3771
_cell_angle_alpha 90.00
_cell_angle_beta 90.00
_cell_angle_gamma 90.00
_symmetry_space_group_name_H-M 'P 1'
_symmetry_Int_Tables_number 1
loop_
_symmetry_equiv_pos_as_xyz
'x,y,z'
loop_
_atom_site_label
_atom_site_type_symbol
_atom_site_fract_x
_atom_site_fract_y
_atom_site_fract_z
Nd1 Nd 0.0000 0.0000 0.0000
Tm1 Tm 0.0000 0.5000 0.5000
Tm2 Tm 0.5000 0.0000 0.5000
Tm3 Tm 0.5000 0.5000 0.0000
Os1 Os 0.5000 0.5000 0.5000
# Formation energy from the elements: -0.044 eV per atom
# Total moment: 0.001 μB/cell
# Electronic total energy: -5.9263 eV per atom
# Space-group type: Pm-3m, No. 221

=====

[2]
# Nd2Tm3Os2 (PBE, relaxed)
data_Nd2Tm3Os2
_cell_length_a 6.3086
_cell_length_b 6.3086
_cell_length_c 8.5552
_cell_angle_alpha 113.46
_cell_angle_beta 113.46
_cell_angle_gamma 36.56
_symmetry_space_group_name_H-M 'P 1'
_symmetry_Int_Tables_number 1
loop_
_symmetry_equiv_pos_as_xyz
'x,y,z'
loop_
_atom_site_label
_atom_site_type_symbol
_atom_site_fract_x
_atom_site_fract_y
_atom_site_fract_z
Nd1 Nd 0.1608 0.1608 0.3016
Nd2 Nd 0.8392 0.8392 0.6984
Tm1 Tm 0.3731 0.3731 0.0733
Tm2 Tm 0.5000 0.5000 0.5000
Tm3 Tm 0.6269 0.6269 0.9267
Os1 Os 0.1730 0.1730 0.7230
Os2 Os 0.8270 0.8270 0.2770
# Formation energy from the elements: -0.219 eV per atom
# Total moment: 0.000 μB/cell
# Electronic total energy: -6.7058 eV per atom
# Space-group type: C2/m, No. 12